No. 1
Y3Ru | meta-GGA SCAN | single point on PBEsol structure

- SG: Pnma, No. 62

The structure in CIF format:
```
data_Y3Ru
_chemical_formula_sum 'Y12 Ru4'
_space_group_name_H-M_alt 'P 1'
_space_group_IT_number 1
_cell_length_a 6.2401
_cell_length_b 7.2289
_cell_length_c 9.0503
_cell_angle_alpha 90.00
_cell_angle_beta 90.00
_cell_angle_gamma 90.00
loop_
_space_group_symop_operation_xyz
'x,y,z'
loop_
_atom_site_label
_atom_site_type_symbol
_atom_site_fract_x
_atom_site_fract_y
_atom_site_fract_z
Y1 Y 0.3318 0.1767 0.4357
Y2 Y 0.1682 0.6767 0.4357
Y3 Y 0.8318 0.3233 0.9357
Y4 Y 0.8679 0.0415 0.2500
Y5 Y 0.3318 0.1767 0.0643
Y6 Y 0.6321 0.5415 0.2500
Y7 Y 0.6682 0.8233 0.9357
Y8 Y 0.8318 0.3233 0.5643
Y9 Y 0.1321 0.9585 0.7500
Y10 Y 0.1682 0.6767 0.0643
Y11 Y 0.3679 0.4585 0.7500
Y12 Y 0.6682 0.8233 0.5643
Ru1 Ru 0.4612 0.8846 0.2500
Ru2 Ru 0.0388 0.3846 0.2500
Ru3 Ru 0.5388 0.1154 0.7500
Ru4 Ru 0.9612 0.6154 0.7500
```

No. 2
Y3Ru | meta-GGA SCAN | single point on PBEsol structure

- SG: Immm, No. 71

The structure in CIF format:
```
data_Y3Ru
_chemical_formula_sum 'Y3 Ru1'
_space_group_name_H-M_alt 'P 1'
_space_group_IT_number 1
_cell_length_a 3.5268
_cell_length_b 5.2118
_cell_length_c 6.2361
_cell_angle_alpha 114.70
_cell_angle_beta 106.43
_cell_angle_gamma 90.00
loop_
_space_group_symop_operation_xyz
'x,y,z'
loop_
_atom_site_label
_atom_site_type_symbol
_atom_site_fract_x
_atom_site_fract_y
_atom_site_fract_z
Ru1 Ru 0.0000 0.5000 0.0000
Y1 Y 0.6972 0.6972 0.3944
Y2 Y 0.3028 0.3028 0.6056
Y3 Y 0.5000 0.0000 0.0000
```

No. 3
Y3Ru | meta-GGA SCAN | single point on PBEsol structure

- SG: P4/mmm, No. 123

The structure in CIF format:
```
data_Y3Ru
_chemical_formula_sum 'Y3 Ru1'
_space_group_name_H-M_alt 'P 1'
_space_group_IT_number 1
_cell_length_a 3.3798
_cell_length_b 3.3798
_cell_length_c 8.8727
_cell_angle_alpha 90.00
_cell_angle_beta 90.00
_cell_angle_gamma 90.02
loop_
_space_group_symop_operation_xyz
'x,y,z'
loop_
_atom_site_label
_atom_site_type_symbol
_atom_site_fract_x
_atom_site_fract_y
_atom_site_fract_z
Y1 Y 0.5000 0.5000 0.1838
Y2 Y 0.5000 0.5000 0.8162
Y3 Y 0.0000 0.0000 0.5000
Ru1 Ru 0.0000 0.0000 0.0000
```

No. 4
Y5Ru | meta-GGA SCAN | single point on PBEsol structure

- SG: C2/m, No. 12
- Excess energy over the best structure of this formula in the dataset: 0.0 meV/atom

The structure in CIF format:
```
data_Y5Ru
_chemical_formula_sum 'Y5 Ru1'
_space_group_name_H-M_alt 'P 1'
_space_group_IT_number 1
_cell_length_a 3.5053
_cell_length_b 6.2556
_cell_length_c 8.2816
_cell_angle_alpha 110.66
_cell_angle_beta 90.00
_cell_angle_gamma 106.27
loop_
_space_group_symop_operation_xyz
'x,y,z'
loop_
_atom_site_label
_atom_site_type_symbol
_atom_site_fract_x
_atom_site_fract_y
_atom_site_fract_z
Y1 Y 0.8363 0.6725 0.2133
Y2 Y 0.1318 0.2637 0.3713
Y3 Y 0.8682 0.7363 0.6287
Y4 Y 0.5000 0.0000 0.0000
Y5 Y 0.1637 0.3275 0.7867
Ru1 Ru 0.5000 0.0000 0.5000
```

No. 5
YRu2 | meta-GGA SCAN | single point on PBEsol structure

- SG: P6_3/mmc, No. 194

The structure in CIF format:
```
data_YRu2
_chemical_formula_sum 'Y8 Ru16'
_space_group_name_H-M_alt 'P 1'
_space_group_IT_number 1
_cell_length_a 5.2236
_cell_length_b 5.2236
_cell_length_c 17.4411
_cell_angle_alpha 90.00
_cell_angle_beta 90.00
_cell_angle_gamma 120.00
loop_
_space_group_symop_operation_xyz
'x,y,z'
loop_
_atom_site_label
_atom_site_type_symbol
_atom_site_fract_x
_atom_site_fract_y
_atom_site_fract_z
Ru1 Ru 0.0000 0.5000 0.0000
Ru2 Ru 0.1634 0.3268 0.7500
Ru3 Ru 0.8366 0.1634 0.2500
Ru4 Ru 0.6667 0.3333 0.1261
Ru5 Ru 0.1634 0.8366 0.7500
Ru6 Ru 0.3333 0.6667 0.6261
Ru7 Ru 0.5000 0.0000 0.0000
Ru8 Ru 0.3268 0.1634 0.2500
Ru9 Ru 0.6667 0.3333 0.3739
Ru10 Ru 0.0000 0.5000 0.5000
Ru11 Ru 0.5000 0.5000 0.0000
Ru12 Ru 0.5000 0.5000 0.5000
Ru13 Ru 0.8366 0.6732 0.2500
Ru14 Ru 0.6732 0.8366 0.7500
Ru15 Ru 0.3333 0.6667 0.8739
Ru16 Ru 0.5000 0.0000 0.5000
Y1 Y 0.0000 0.0000 0.9085
Y2 Y 0.3333 0.6667 0.1567
Y3 Y 0.6667 0.3333 0.8433
Y4 Y 0.6667 0.3333 0.6567
Y5 Y 0.0000 0.0000 0.4085
Y6 Y 0.0000 0.0000 0.0915
Y7 Y 0.3333 0.6667 0.3433
Y8 Y 0.0000 0.0000 0.5915
```

No. 6
YZnRu | meta-GGA SCAN | single point on PBEsol structure

- SG: P-6m2, No. 187

The structure in CIF format:
```
data_YZnRu
_chemical_formula_sum 'Y1 Zn1 Ru1'
_space_group_name_H-M_alt 'P 1'
_space_group_IT_number 1
_cell_length_a 3.4535
_cell_length_b 4.3031
_cell_length_c 4.3031
_cell_angle_alpha 120.00
_cell_angle_beta 90.00
_cell_angle_gamma 90.00
loop_
_space_group_symop_operation_xyz
'x,y,z'
loop_
_atom_site_label
_atom_site_type_symbol
_atom_site_fract_x
_atom_site_fract_y
_atom_site_fract_z
Y1 Y 0.0000 0.3333 0.6667
Zn1 Zn 0.5000 0.6667 0.3333
Ru1 Ru 0.5000 0.0000 0.0000
```

No. 7
YZnRu2 | meta-GGA SCAN | single point on PBEsol structure

- SG: Imm2, No. 44

The structure in CIF format:
```
data_YZnRu2
_chemical_formula_sum 'Y1 Zn1 Ru2'
_space_group_name_H-M_alt 'P 1'
_space_group_IT_number 1
_cell_length_a 3.1229
_cell_length_b 4.4084
_cell_length_c 5.4037
_cell_angle_alpha 114.07
_cell_angle_beta 106.80
_cell_angle_gamma 90.00
loop_
_space_group_symop_operation_xyz
'x,y,z'
loop_
_atom_site_label
_atom_site_type_symbol
_atom_site_fract_x
_atom_site_fract_y
_atom_site_fract_z
Ru1 Ru 0.0046 0.0046 0.0092
Ru2 Ru 0.7312 0.2312 0.4625
Y1 Y 0.4947 0.4947 0.9894
Zn1 Zn 0.2695 0.7695 0.5389
```

No. 8
YZnRu | meta-GGA SCAN | single point on PBEsol structure

- SG: F-43m, No. 216

The structure in CIF format:
```
data_YZnRu
_chemical_formula_sum 'Y1 Zn1 Ru1'
_space_group_name_H-M_alt 'P 1'
_space_group_IT_number 1
_cell_length_a 4.3541
_cell_length_b 4.3541
_cell_length_c 4.3541
_cell_angle_alpha 60.00
_cell_angle_beta 60.00
_cell_angle_gamma 60.00
loop_
_space_group_symop_operation_xyz
'x,y,z'
loop_
_atom_site_label
_atom_site_type_symbol
_atom_site_fract_x
_atom_site_fract_y
_atom_site_fract_z
Y1 Y 0.5000 0.5000 0.5000
Zn1 Zn 0.7500 0.7500 0.7500
Ru1 Ru 0.0000 0.0000 0.0000
```

| no. | energy of formation from the pure elements (meV per atom) | spin magnetization (μB/atom) |
| --- | --- | --- |
| 1 | -371 | 0.000 |
| 2 | -256 | 0.000 |
| 3 | -240 | 0.080 |
| 4 | -154 | 0.000 |
| 5 | -371 | 0.000 |
| 6 | -336 | 0.000 |
| 7 | -55 | 0.000 |
| 8 | 15 | 0.000 |